# 1
12
Lattice="-2.994 -3.220 0.189 1.476 -1.864 -8.404 7.363 -6.683 2.775" Properties=species:S:1:pos:R:3 comment="KAlTl2Sb2 PBE relaxed" sg="Pmc2_1 (26)" formation_energy_uncorrected_mev_per_atom=-130 pbc="T T T"
K 2.828 -2.572 0.986
K 5.299 -5.077 -2.563
Al 3.387 -6.114 0.724
Al 2.118 -5.225 -4.234
Tl -1.284 -1.839 -0.436
Tl 1.814 -1.818 -2.240
Tl 6.591 -9.250 -1.947
Tl 7.250 -7.014 -4.672
Sb 6.117 -5.650 0.630
Sb 2.011 -4.962 -1.451
Sb 2.536 -2.662 -5.200
Sb 4.040 -7.066 -5.166

***

# 2
5
Lattice="-1.371 2.485 4.209 -3.148 -3.920 1.289 3.796 -2.212 2.542" Properties=species:S:1:pos:R:3 comment="KAl2SbW PBE relaxed" sg="P4/mmm (123)" formation_energy_uncorrected_mev_per_atom=180 pbc="T T T"
Sb -1.574 -1.960 0.645
K -0.361 -1.824 4.020
Al 1.898 -1.106 1.271
Al -0.685 1.242 2.104
W 0.000 0.000 0.000

***

# 3
4
Lattice="4.733 0.000 0.000 0.000 4.733 0.000 0.000 0.000 6.489" Properties=species:S:1:pos:R:3 comment="K2ScAl PBE relaxed" sg="P4/mmm (123)" formation_energy_ev_per_atom=0.682 pbc="T T T"
Sc 2.367 2.367 1.622
K 0.000 0.000 6.400
K 0.000 0.000 3.334
Al 2.367 2.367 4.867

***

# 4
4
Lattice="-3.934 -5.833 1.841 5.488 0.343 -4.760 2.393 -2.152 1.403" Properties=species:S:1:pos:R:3 comment="K2ScAl PBE relaxed" sg="C2/m (12)" formation_energy_ev_per_atom=0.534 pbc="T T T"
Sc -0.771 -3.992 1.622
K 0.000 0.000 0.000
K 0.777 -2.745 -1.459
Al 3.941 -0.904 -1.679

***

| no. | volume (A^3/atom) | D(E_F) (states/eV/atom) | magnetic moment (μB/f.u.) |
| --- | --- | --- | --- |
| 1 | 33.07 | 0.24 | 0.00 |
| 2 | 26.75 | 0.27 | 0.00 |
| 3 | 36.34 | 0.78 | 1.45 |
| 4 | 31.62 | 0.91 | 0.57 |